# 1
Material: VCd2Re
Method: DFT, PBE-GGA
State: relaxed

Structure (POSCAR):
```
VCd2Re
1.0
0.000 3.274 3.274
3.274 0.000 3.274
3.274 3.274 0.000
V Cd Re
1 2 1
Direct
0.000 0.000 0.000
0.250 0.250 0.250
0.750 0.750 0.750
0.500 0.500 0.500
```

Summary:
The formation energy is 0.7936 eV/atom. Its energy above the lowest structure with this stoichiometry is 0.00 eV per formula unit. As for the crystal system: cubic.



# 2
Material: SrBeSeN2
Method: DFT, PBE-GGA
State: relaxed

Structure (POSCAR):
```
SrBeSeN2
1.0
4.115 0.000 0.000
0.000 4.115 0.000
0.000 0.000 4.728
Sr Be Se N
1 1 1 2
Direct
0.000 0.000 0.000
0.500 0.500 0.500
0.500 0.500 0.000
0.000 0.500 0.500
0.500 0.000 0.500
```

Summary:
As for the energy relative to the elements, uncorrected: 0.508 eV/atom. Its energy above the lowest structure with this stoichiometry is 0.00 eV per formula unit. As for the crystal system: tetragonal.



# 3
Material: BC2
Method: DFT, PBE-GGA
State: relaxed

Structure (POSCAR):
```
BC2
1.0
4.465 -1.276 0.000
4.465 1.276 0.000
-3.198 0.000 6.859
B C
4 8
Direct
0.000 0.000 0.000
0.184 0.184 0.682
0.511 0.511 0.836
0.630 0.630 0.263
0.176 0.176 0.189
0.326 0.326 0.143
0.342 0.342 0.624
0.492 0.492 0.345
0.683 0.683 0.822
0.827 0.827 0.023
0.879 0.879 0.549
0.996 0.996 0.460
```

Summary:
The formation energy is 0.3038 eV/atom. Its energy above the lowest structure with this stoichiometry is 0.19 eV per formula unit. As for the crystal system: monoclinic.



# 4
Material: SrCuBrO2
Method: DFT, PBE-GGA
State: relaxed

Structure (POSCAR):
```
SrCuBrO2
1.0
2.000 -5.917 0.000
2.000 5.917 0.000
0.000 0.000 7.156
Sr Cu Br O
2 2 2 4
Direct
0.222 0.778 0.750
0.778 0.222 0.250
0.500 0.500 0.000
0.500 0.500 0.500
0.047 0.953 0.250
0.953 0.047 0.750
0.350 0.650 0.053
0.350 0.650 0.447
0.650 0.350 0.553
0.650 0.350 0.947
```

Summary:
As for the energy relative to the elements, uncorrected: -1.268 eV/atom. As for the crystal system: orthorhombic.



Number 1: size of the total moment 1.16 μB/f.u., uncorrected energy -20.22 eV/cell. Number 2: size of the total moment 3.94 μB/f.u., uncorrected energy -23.00 eV/cell. Number 3: size of the total moment 0.00 μB/f.u., uncorrected energy -96.86 eV/cell. Number 4: size of the total moment 0.83 μB/f.u., uncorrected energy -47.41 eV/cell.